No. 1
First-principles (PBE-GGA) data for CrMo4Rh after structural relaxation, as listed in the Alexandria database.

a b c (Å): 5.1615 5.1615 5.1615
angles (deg): 60.00 60.00 60.00
Site moments in Bohr magnetons follow the coordinates.
Atoms (fractional coordinates):
Rh 0.7500 0.7500 0.7500  0.04
Mo 0.3741 0.3741 0.3741  -0.12
Mo 0.8777 0.3741 0.3741  -0.12
Mo 0.3741 0.3741 0.8777  -0.12
Mo 0.3741 0.8777 0.3741  -0.12
Cr 0.0000 0.0000 0.0000  2.81

Results
D(E_F), states/eV per atom: 0.976
Spin magnetization, μB per formula unit: 2.5
DFT formation energy, eV per atom: 0.394
DFT total energy, eV per cell: -57.93
SG: F-43m, No. 216

No. 2
First-principles (PBE-GGA) data for Er2PbSe4 after structural relaxation, as listed in the Alexandria database.

a b c (Å): 4.0945 7.0449 14.1193
angles (deg): 90.00 90.00 106.89
Atoms (fractional coordinates):
Se 0.7697 0.5395 0.1145
Se 0.9469 0.8937 0.7500
Se 0.5000 0.0000 0.5000
Er 0.8637 0.7273 0.9339
Er 0.1363 0.2727 0.4339
Pb 0.3967 0.7935 0.2500
Se 0.2303 0.4605 0.8855
Se 0.2303 0.4605 0.6145
Pb 0.6033 0.2065 0.7500
Se 0.7697 0.5395 0.3855
Er 0.8637 0.7273 0.5661
Se 0.0531 0.1063 0.2500
Se 0.5000 0.0000 0.0000
Er 0.1363 0.2727 0.0661

Results
Spin magnetization, μB per formula unit: 0.0
Energy relative to the lowest polymorph listed for this composition, eV per atom: 0.0036
DFT total energy, eV per cell: -74.27
SG: Cmcm, No. 63
Formation energy without anion corrections, eV/atom: -1.4804

No. 3
First-principles (PBE-GGA) data for SrOs2Ru after structural relaxation, as listed in the Alexandria database.

a b c (Å): 2.9357 4.7262 4.9647
angles (deg): 90.00 90.00 90.00
Atoms (fractional coordinates):
Os 0.5000 0.5000 0.0000
Sr 0.0000 0.5000 0.5000
Ru 0.5000 0.0000 0.5000
Os 0.0000 0.0000 0.0000

Results
D(E_F), states/eV per atom: 1.500
Spin magnetization, μB per formula unit: 0.0
Energy relative to the lowest polymorph listed for this composition, eV per atom: 0.4481
DFT formation energy, eV per atom: 1.054
DFT total energy, eV per cell: -29.20
SG: Pmmm, No. 47

No. 4
First-principles (PBE-GGA) data for Rb2TlOsO4 after structural relaxation, as listed in the Alexandria database.

a b c (Å): 6.0445 6.0445 6.0445
angles (deg): 101.17 113.77 113.77
Site moments in Bohr magnetons follow the coordinates.
Atoms (fractional coordinates):
O 0.6053 0.3177 0.3416  0.07
Rb 0.0000 0.0000 0.0000  0.00
Tl 0.5000 0.2500 0.7500  0.00
O 0.3947 0.7364 0.7125  0.07
Os 0.0000 0.5000 0.5000  0.62
O 0.9761 0.6584 0.2636  0.07
O 0.0239 0.2875 0.6823  0.07
Rb 0.5000 0.7500 0.2500  0.00

Results
D(E_F), states/eV per atom: 0.880
Spin magnetization, μB per formula unit: 1.0
DFT total energy, eV per cell: -44.30
SG: I-4, No. 82
Formation energy without anion corrections, eV/atom: -1.1167

No. 5
First-principles (PBE-GGA) data for Li2BS after structural relaxation, as listed in the Alexandria database.

a b c (Å): 4.1441 4.1441 4.1441
angles (deg): 60.00 60.00 60.00
Atoms (fractional coordinates):
Li 0.7500 0.7500 0.7500
S 0.5000 0.5000 0.5000
Li 0.2500 0.2500 0.2500
B 0.0000 0.0000 0.0000

Results
D(E_F), states/eV per atom: 0.591
Spin magnetization, μB per formula unit: 0.0
Energy relative to the lowest polymorph listed for this composition, eV per atom: 0.0000
DFT total energy, eV per cell: -13.74
SG: Fm-3m, No. 225
Formation energy without anion corrections, eV/atom: 0.2236

No. 6
First-principles (PBE-GGA) data for TaAl5 after structural relaxation, as listed in the Alexandria database.

a b c (Å): 7.4246 7.4246 4.7750
angles (deg): 90.00 90.00 157.96
Atoms (fractional coordinates):
Al 0.7777 0.2223 0.5000
Al 0.0006 0.9994 0.0000
Al 0.4431 0.5569 0.5000
Ta 0.1087 0.8913 0.5000
Al 0.3358 0.6642 0.0000
Al 0.6675 0.3325 0.0000

Results
D(E_F), states/eV per atom: 0.407
Spin magnetization, μB per formula unit: 0.0
Energy relative to the lowest polymorph listed for this composition, eV per atom: 0.0800
DFT formation energy, eV per atom: -0.088
DFT total energy, eV per cell: -31.10
SG: Amm2, No. 38

No. 7
First-principles (PBE-GGA) data for Y2PbI after structural relaxation, as listed in the Alexandria database.

a b c (Å): 4.4238 4.4238 8.0912
angles (deg): 74.13 74.13 60.00
Atoms (fractional coordinates):
Y 0.0708 0.0708 0.7877
Pb 0.6687 0.6687 0.9939
I 0.4982 0.4982 0.5053
Y 0.2623 0.2623 0.2132

Results
D(E_F), states/eV per atom: 0.807
Spin magnetization, μB per formula unit: 0.0
Energy relative to the lowest polymorph listed for this composition, eV per atom: 0.0000
DFT total energy, eV per cell: -20.64
SG: R3m, No. 160
Formation energy without anion corrections, eV/atom: -0.6129

No. 8
First-principles (PBE-GGA) data for NaLiI3 after structural relaxation, as listed in the Alexandria database.

a b c (Å): 6.0162 6.0162 6.0162
angles (deg): 90.00 90.00 90.00
Site moments in Bohr magnetons follow the coordinates.
Atoms (fractional coordinates):
I 0.0000 0.5000 0.0000  0.26
Li 0.5000 0.5000 0.5000  0.00
I 0.0000 0.0000 0.5000  0.14
Na 0.0000 0.0000 0.0000  0.00
I 0.5000 0.0000 0.0000  0.23

Results
D(E_F), states/eV per atom: 1.706
Spin magnetization, μB per formula unit: 1.0
Energy relative to the lowest polymorph listed for this composition, eV per atom: 0.1989
DFT total energy, eV per cell: -10.42
SG: Pm-3m, No. 221
Formation energy without anion corrections, eV/atom: -0.5074